## MnBrO3 (PBE+U)

Data for crystalline MnBrO3 at its relaxed geometry.

extended XYZ file:
```
5
Lattice="-3.520 -0.556 1.384 0.448 -3.778 -0.378 1.422 -0.186 3.544" Properties=species:S:1:pos:R:3 pbc="T T T"
Mn 0.000 0.000 0.000
O 0.224 -1.889 -0.189
O 0.711 -0.093 1.772
O -1.760 -0.278 0.692
Br -0.825 -2.260 2.275
```

E ... -4.902 eV/atom
Magnetization ... 2.6 μB/cell